# 1
# TiRhI2 | the Alexandria database | PBE-GGA | optimized geometry
# **E_form (uncorrected)**: 0.183 eV/atom
# **Energy above the most stable polymorph in this dataset**: 0.00 kcal/mol of atoms
data_TiRhI2
_cell_length_a 8.619
_cell_length_b 8.619
_cell_length_c 8.619
_cell_angle_alpha 144.66
_cell_angle_beta 144.66
_cell_angle_gamma 50.84
_space_group_name_H-M_alt 'P 1'
_space_group_IT_number 1
_space_group_name_Hall 'P 1'
loop_
_atom_site_label
_atom_site_type_symbol
_atom_site_fract_x
_atom_site_fract_y
_atom_site_fract_z
_atom_site_occupancy
Ti1 Ti 0.000 0.000 0.000 1
Ti2 Ti 0.750 0.250 0.500 1
Rh1 Rh 0.250 0.750 0.500 1
Rh2 Rh 0.500 0.500 0.000 1
I1 I 0.134 0.625 0.009 1
I2 I 0.375 0.384 0.509 1
I3 I 0.616 0.125 0.991 1
I4 I 0.875 0.866 0.491 1

# 2
# KGa5Au2 | the Alexandria database | PBE-GGA | optimized geometry
# **Formation enthalpy at 0 K**: -0.209 eV/atom
data_KGa5Au2
_cell_length_a 6.813
_cell_length_b 6.813
_cell_length_c 6.813
_cell_angle_alpha 142.97
_cell_angle_beta 113.33
_cell_angle_gamma 78.79
_space_group_name_H-M_alt 'P 1'
_space_group_IT_number 1
_space_group_name_Hall 'P 1'
loop_
_atom_site_label
_atom_site_type_symbol
_atom_site_fract_x
_atom_site_fract_y
_atom_site_fract_z
_atom_site_occupancy
K1 K 0.000 0.000 0.000 1
Ga1 Ga 0.171 0.362 0.809 1
Ga2 Ga 0.447 0.638 0.809 1
Ga3 Ga 0.500 0.000 0.500 1
Ga4 Ga 0.553 0.362 0.191 1
Ga5 Ga 0.829 0.638 0.191 1
Au1 Au 0.256 0.756 0.500 1
Au2 Au 0.744 0.244 0.500 1

# 3
# LaSc2Cu | the Alexandria database | PBE-GGA | optimized geometry
# **Formation enthalpy at 0 K**: 0.160 eV/atom
# **Energy above the most stable polymorph in this dataset**: 5.48 kcal/mol of atoms
data_LaSc2Cu
_cell_length_a 5.133
_cell_length_b 5.133
_cell_length_c 5.133
_cell_angle_alpha 60.00
_cell_angle_beta 60.00
_cell_angle_gamma 60.00
_space_group_name_H-M_alt 'P 1'
_space_group_IT_number 1
_space_group_name_Hall 'P 1'
loop_
_atom_site_label
_atom_site_type_symbol
_atom_site_fract_x
_atom_site_fract_y
_atom_site_fract_z
_atom_site_occupancy
La1 La 0.000 0.000 0.000 1
Sc1 Sc 0.250 0.250 0.250 1
Sc2 Sc 0.500 0.500 0.500 1
Cu1 Cu 0.750 0.750 0.750 1

# 4
# YCu2Rh2 | the Alexandria database | PBE-GGA | optimized geometry
# **Formation enthalpy at 0 K**: -0.204 eV/atom
# **Energy above the most stable polymorph in this dataset**: 0.46 kcal/mol of atoms
data_YCu2Rh2
_cell_length_a 7.063
_cell_length_b 7.063
_cell_length_c 3.183
_cell_angle_alpha 90.00
_cell_angle_beta 90.00
_cell_angle_gamma 90.00
_space_group_name_H-M_alt 'P 1'
_space_group_IT_number 1
_space_group_name_Hall 'P 1'
loop_
_atom_site_label
_atom_site_type_symbol
_atom_site_fract_x
_atom_site_fract_y
_atom_site_fract_z
_atom_site_occupancy
Y1 Y 0.000 0.000 0.000 1
Y2 Y 0.500 0.500 0.000 1
Cu1 Cu 0.124 0.376 0.000 1
Cu2 Cu 0.376 0.876 0.000 1
Cu3 Cu 0.624 0.124 0.000 1
Cu4 Cu 0.876 0.624 0.000 1
Rh1 Rh 0.170 0.670 0.500 1
Rh2 Rh 0.330 0.170 0.500 1
Rh3 Rh 0.670 0.830 0.500 1
Rh4 Rh 0.830 0.330 0.500 1

How do the records compare in magnetization? In the order shown, they have 1.0 0.0 1.2 0.0 μB/f.u..